First-principles (PBE) data for a relaxed LaMn4Ag crystal, as listed in Alexandria.

## Properties
* energy of formation: 0.37 eV per atom

The structure in extended XYZ format:
```
6
Lattice="0.0000 3.6964 3.6964 3.6964 0.0000 3.6964 3.6964 3.6964 0.0000" Properties=species:S:1:pos:R:3 pbc="T T T"
Mn 2.7797 2.7797 4.6131
Mn 4.6131 4.6131 4.6131
La 0.0000 0.0000 0.0000
Ag 1.8482 1.8482 1.8482
Mn 4.6131 2.7797 2.7797
Mn 2.7797 4.6131 2.7797
```

=====

First-principles (PBE) data for a relaxed NbOF2 crystal, as listed in Alexandria.

## Properties
* ΔE_f (raw): -10.87 eV/f.u.

The structure in extended XYZ format:
```
16
Lattice="-4.3495 -3.3993 0.1803 3.1244 -3.8681 2.4456 -2.2799 3.3528 8.2154" Properties=species:S:1:pos:R:3 pbc="T T T"
O -1.2459 -4.9117 4.2132
Nb -0.6200 1.0925 5.6586
F -1.7817 -3.7258 1.7300
Nb -3.4132 0.3024 7.9774
O -2.2591 0.9971 6.6279
O -3.9494 -1.3023 7.0982
F -1.9734 -4.4633 7.0859
Nb -2.8850 -5.0071 5.1825
F -1.3191 -1.1454 0.8043
F -0.2839 -0.9240 6.1094
O 0.4444 -2.6123 3.7430
F -1.7233 -0.1888 9.1111
F -1.5316 0.5487 3.7552
Nb -0.0918 -4.2169 2.8638
F -3.2211 -2.9906 4.7318
F -2.1859 -2.7692 10.0368
```

=====

First-principles (PBE) data for a relaxed TaTc2Ir crystal, as listed in Alexandria.

## Properties
* energy of formation: 0.05 eV per atom
* energy relative to the lowest polymorph listed for this composition: 315 meV per atom

The structure in extended XYZ format:
```
4
Lattice="0.0000 3.1456 3.1456 3.1456 0.0000 3.1456 3.1456 3.1456 0.0000" Properties=species:S:1:pos:R:3 pbc="T T T"
Ta 0.0000 0.0000 0.0000
Tc 4.7184 4.7184 4.7184
Tc 1.5728 1.5728 1.5728
Ir 3.1456 3.1456 3.1456
```

=====

| no. | energy (eV/f.u.) |
| --- | --- |
| 1 | -42.22 |
| 2 | -29.64 |
| 3 | -41.23 |